(1)
A relaxed ZnCoTc2 crystal. Source: Alexandria via LeMat-Bulk, functional PBE-GGA.

Unit cell a=4.7048 b=4.7048 c=4.5561 alpha=101.30 beta=101.30 gamma=33.12
Last column: nearest neighbours and their distance in Å.
Fractional positions:
Zn  0.0000  0.0000  0.0000  4 Co 2.64, 6 Tc 2.65-2.77, 2 Zn 2.68
Co  0.5000  0.5000  0.5000  6 Tc 2.57-2.81, 4 Zn 2.64, 2 Co 2.68
Tc  0.2369  0.2369  0.7399  3 Co 2.57-2.81, 6 Tc 2.62-2.69, 3 Zn 2.65-2.77
Tc  0.7631  0.7631  0.2601  3 Co 2.57-2.81, 6 Tc 2.62-2.69, 3 Zn 2.65-2.77

For the mass density, the calculation gives 9863 kg/m³. As for the formation energy: 0.54 eV per formula unit.

---

(2)
A relaxed ZnCoTc2 crystal. Source: Alexandria via LeMat-Bulk, functional PBE-GGA.

Unit cell a=2.6911 b=3.8127 c=5.2296 alpha=90.00 beta=90.00 gamma=90.00
Last column: nearest neighbours and their distance in Å.
Fractional positions:
Zn  0.0000  0.0000  0.0000  6 Tc 2.56-2.73, 4 Co 2.59, 2 Zn 2.69
Co  0.5000  0.5000  0.2166  6 Tc 2.55-2.74, 4 Zn 2.59, 2 Co 2.69
Tc  0.0000  0.0000  0.4897  2 Zn 2.56-2.67, 6 Tc 2.65-2.69, 4 Co 2.74
Tc  0.5000  0.5000  0.7297  2 Co 2.55-2.68, 6 Tc 2.65-2.69, 4 Zn 2.73

For the mass density, the calculation gives 9913 kg/m³. As for the formation energy: 0.45 eV per formula unit.

---

(3)
A relaxed ZnCoTc2 crystal. Source: Alexandria via LeMat-Bulk, functional PBE-GGA.

Unit cell a=4.7928 b=4.7928 c=4.7928 alpha=135.58 beta=135.58 gamma=64.63
Last column: nearest neighbours and their distance in Å.
Fractional positions:
Zn  0.0000  0.0000  0.0000  4 Co 2.56, 8 Tc 2.72
Co  0.5000  0.5000  0.0000  4 Zn 2.56, 8 Tc 2.72
Tc  0.2500  0.7500  0.5000  4 Tc 2.56, 4 Co 2.72, 4 Zn 2.72
Tc  0.7500  0.2500  0.5000  4 Tc 2.56, 4 Co 2.72, 4 Zn 2.72

For the mass density, the calculation gives 10003 kg/m³. As for the formation energy: 0.44 eV per formula unit.

---

(4)
A relaxed ZnCoTc2 crystal. Source: Alexandria via LeMat-Bulk, functional PBE-GGA.

Unit cell a=2.6160 b=2.6160 c=7.8303 alpha=90.00 beta=90.00 gamma=90.00
Last column: nearest neighbours and their distance in Å.
Fractional positions:
Zn  0.0000  0.0000  0.0000  4 Zn 2.62, 8 Tc 2.79
Co  0.0000  0.0000  0.5000  8 Tc 2.60, 4 Co 2.62
Tc  0.5000  0.5000  0.2668  4 Co 2.60, 4 Tc 2.62, 4 Zn 2.79
Tc  0.5000  0.5000  0.7332  4 Co 2.60, 4 Tc 2.62, 4 Zn 2.79

For the mass density, the calculation gives 9927 kg/m³. As for the formation energy: 0.44 eV per formula unit.

---

(5)
A relaxed ZnCo6Tc crystal. Source: Alexandria via LeMat-Bulk, functional PBE-GGA.

Unit cell a=6.1845 b=6.1845 c=10.1100 alpha=90.00 beta=90.00 gamma=109.38
Last column: nearest neighbours and their distance in Å.
Fractional positions:
Zn  0.0000  0.0000  0.2481  12 Co 2.51-2.55
Zn  0.0000  0.0000  0.7519  12 Co 2.51-2.55
Zn  0.2512  0.7488  0.5000  12 Co 2.51-2.56
Zn  0.7488  0.2512  0.5000  12 Co 2.51-2.56
Co  0.0000  0.0000  0.0000  2 Zn 2.51, 8 Co 2.53, 2 Tc 2.55
Co  0.0000  0.0000  0.5000  8 Co 2.52, 4 Zn 2.54-2.55
Co  0.1256  0.3741  0.3744  1 Tc 2.50, 8 Co 2.51-2.55, 3 Zn 2.53-2.54
Co  0.1256  0.3741  0.6256  1 Tc 2.50, 8 Co 2.51-2.55, 3 Zn 2.53-2.54
Co  0.1267  0.3787  0.1228  8 Co 2.48-2.54, 3 Tc 2.48-2.55, 1 Zn 2.55
Co  0.1267  0.3787  0.8772  8 Co 2.48-2.54, 3 Tc 2.48-2.55, 1 Zn 2.55
Co  0.2518  0.7482  0.2472  8 Co 2.50-2.55, 2 Tc 2.50-2.51, 2 Zn 2.54-2.56
Co  0.2518  0.7482  0.7528  8 Co 2.50-2.55, 2 Tc 2.50-2.51, 2 Zn 2.54-2.56
Co  0.3741  0.1256  0.3744  1 Tc 2.50, 8 Co 2.51-2.55, 3 Zn 2.53-2.54
Co  0.3741  0.1256  0.6256  1 Tc 2.50, 8 Co 2.51-2.55, 3 Zn 2.53-2.54
Co  0.3787  0.1267  0.1228  8 Co 2.48-2.54, 3 Tc 2.48-2.55, 1 Zn 2.55
Co  0.3787  0.1267  0.8772  8 Co 2.48-2.54, 3 Tc 2.48-2.55, 1 Zn 2.55
Co  0.5000  0.5000  0.0000  4 Tc 2.49-2.57, 8 Co 2.51
Co  0.5000  0.5000  0.5000  2 Tc 2.49, 2 Zn 2.51, 8 Co 2.53
Co  0.6213  0.8733  0.1228  8 Co 2.48-2.54, 3 Tc 2.48-2.55, 1 Zn 2.55
Co  0.6213  0.8733  0.8772  8 Co 2.48-2.54, 3 Tc 2.48-2.55, 1 Zn 2.55
Co  0.6259  0.8744  0.3744  1 Tc 2.50, 8 Co 2.51-2.55, 3 Zn 2.53-2.54
Co  0.6259  0.8744  0.6256  1 Tc 2.50, 8 Co 2.51-2.55, 3 Zn 2.53-2.54
Co  0.7482  0.2518  0.2472  8 Co 2.50-2.55, 2 Tc 2.50-2.51, 2 Zn 2.54-2.56
Co  0.7482  0.2518  0.7528  8 Co 2.50-2.55, 2 Tc 2.50-2.51, 2 Zn 2.54-2.56
Co  0.8733  0.6213  0.1228  8 Co 2.48-2.54, 3 Tc 2.48-2.55, 1 Zn 2.55
Co  0.8733  0.6213  0.8772  8 Co 2.48-2.54, 3 Tc 2.48-2.55, 1 Zn 2.55
Co  0.8744  0.6259  0.3744  1 Tc 2.50, 8 Co 2.51-2.55, 3 Zn 2.53-2.54
Co  0.8744  0.6259  0.6256  1 Tc 2.50, 8 Co 2.51-2.55, 3 Zn 2.53-2.54
Tc  0.2528  0.7472  0.0000  12 Co 2.48-2.55
Tc  0.5000  0.5000  0.2538  12 Co 2.49-2.57
Tc  0.5000  0.5000  0.7462  12 Co 2.49-2.57
Tc  0.7472  0.2528  0.0000  12 Co 2.48-2.55

For the mass density, the calculation gives 9414 kg/m³. As for the formation energy: 0.59 eV per formula unit.

---

(6)
A relaxed ZnCoTc2 crystal. Source: Alexandria via LeMat-Bulk, functional PBE-GGA.

Unit cell a=4.7731 b=4.7731 c=2.6399 alpha=90.00 beta=90.00 gamma=117.09
Last column: nearest neighbours and their distance in Å.
Fractional positions:
Zn  0.0000  0.0000  0.0000  2 Co 2.49, 2 Zn 2.64, 8 Tc 2.73
Co  0.5000  0.5000  0.0000  2 Zn 2.49, 2 Co 2.64, 8 Tc 2.73
Tc  0.0000  0.5000  0.5000  4 Tc 2.49-2.64, 4 Co 2.73, 4 Zn 2.73
Tc  0.5000  0.0000  0.5000  4 Tc 2.49-2.64, 4 Co 2.73, 4 Zn 2.73

For the mass density, the calculation gives 9934 kg/m³. As for the formation energy: 0.75 eV per formula unit.

---

(7)
A relaxed ZnCoTc2 crystal. Source: Alexandria via LeMat-Bulk, functional PBE-GGA.

Unit cell a=5.5100 b=5.5100 c=5.5100 alpha=101.18 beta=101.18 gamma=127.74
Last column: nearest neighbours and their distance in Å.
Fractional positions:
Zn  0.0000  0.0000  0.0000  2 Co 2.43
Zn  0.7500  0.2500  0.5000  2 Co 2.43
Co  0.2500  0.7500  0.5000  4 Tc 2.32, 2 Zn 2.43
Co  0.5000  0.5000  0.0000  4 Tc 2.32, 2 Zn 2.43
Tc  0.1747  0.6250  0.0497  2 Co 2.32, 2 Tc 2.52
Tc  0.3750  0.4247  0.5497  2 Co 2.32, 2 Tc 2.52
Tc  0.5753  0.1250  0.9503  2 Co 2.32, 2 Tc 2.52
Tc  0.8750  0.8253  0.4503  2 Co 2.32, 2 Tc 2.52

For the mass density, the calculation gives 8958 kg/m³. As for the formation energy: 2.38 eV per formula unit.

---

(8)
A relaxed ZnCoTc2 crystal. Source: Alexandria via LeMat-Bulk, functional PBE-GGA.

Unit cell a=8.7329 b=8.7329 c=8.7329 alpha=17.91 beta=17.91 gamma=17.91
Last column: nearest neighbours and their distance in Å.
Fractional positions:
Zn  0.0000  0.0000  0.0000  3 Co 2.59, 6 Zn 2.72, 3 Tc 2.79
Co  0.2536  0.2536  0.2536  3 Zn 2.59, 3 Tc 2.63, 6 Co 2.72
Tc  0.5049  0.5049  0.5049  3 Co 2.63, 9 Tc 2.64-2.72
Tc  0.7560  0.7560  0.7560  9 Tc 2.64-2.72, 3 Zn 2.79

For the mass density, the calculation gives 9678 kg/m³. As for the formation energy: 0.28 eV per formula unit.